Material: LiYReTc
Method: DFT, PBE
State: relaxed

Geometry as POSCAR:
```
LiYReTc
1.0
0.000 3.218 3.218
3.218 0.000 3.218
3.218 3.218 0.000
Li Y Re Tc
1 1 1 1
direct
0.000 0.000 0.000 Li
0.750 0.750 0.750 Y
0.250 0.250 0.250 Re
0.500 0.500 0.500 Tc
```

Output
Energy above the most stable polymorph in this dataset: 0 meV/atom

***

Material: LiRe3Te5
Method: DFT, PBE
State: relaxed

Geometry as POSCAR:
```
LiRe3Te5
1.0
5.932 0.000 0.000
-2.966 5.137 0.000
0.000 0.000 7.977
Li Re Te
1 3 5
direct
0.000 0.000 0.000 Li
0.000 0.500 0.500 Re
0.500 0.000 0.500 Re
0.500 0.500 0.500 Re
0.000 0.000 0.500 Te
0.333 0.667 0.238 Te
0.333 0.667 0.762 Te
0.667 0.333 0.238 Te
0.667 0.333 0.762 Te
```

Output
Energy: -51.500 eV per cell

***

Material: LiTmRe
Method: DFT, PBE
State: relaxed

Geometry as POSCAR:
```
LiTmRe
1.0
0.000 3.038 3.038
3.038 0.000 3.038
3.038 3.038 0.000
Li Tm Re
1 1 1
direct
0.000 0.000 0.000 Li
0.250 0.250 0.250 Tm
0.750 0.750 0.750 Re
```

Output
Energy above the most stable polymorph in this dataset: 0 meV/atom

***

Material: LiTmRe
Method: DFT, PBE
State: relaxed

Geometry as POSCAR:
```
LiTmRe
1.0
0.000 3.241 3.241
3.241 0.000 3.241
3.241 3.241 0.000
Li Tm Re
1 1 1
direct
0.000 0.000 0.000 Li
0.250 0.250 0.250 Tm
0.500 0.500 0.500 Re
```

Output
Energy above the most stable polymorph in this dataset: 397 meV/atom